First-principles (GGA+U) data for a relaxed Al2CrPb2O6 crystal, as listed in the Alexandria database.

a b c (Å): 6.3163 6.3163 6.3163
angles (deg): 53.85 53.85 53.85
Element x y z (fractional)
Al  0.1053  0.1053  0.1053
Al  0.8947  0.8947  0.8947
Cr  0.5000  0.5000  0.5000
Pb  0.2973  0.2973  0.2973
Pb  0.7027  0.7027  0.7027
O  0.2594  0.7398  0.7398
O  0.2602  0.2602  0.7406
O  0.2602  0.7406  0.2602
O  0.7398  0.2594  0.7398
O  0.7398  0.7398  0.2594
O  0.7406  0.2602  0.2602

- E_tot: -6.482 eV per atom
- DOS at the Fermi energy: 0.19 states/eV per atom
- M_tot: 0.2785 μB/atom